(1)
# Li5TmTl4

A relaxed structure of Li5TmTl4 (GGA-PBE, the Alexandria database).

extended XYZ file:
```
10
Lattice="-4.489 1.760 -0.062 -1.907 -4.725 3.919 4.290 4.490 4.409" Properties=species:S:1:pos:R:3 pbc="T T T"
Li 0.851 2.282 3.159
Li -0.264 -0.590 2.336
Li -1.843 2.115 5.931
Li -3.198 -1.483 1.929
Li -2.958 -0.758 5.107
Tm -2.245 0.880 -0.031
Tl -2.041 1.508 3.028
Tl -1.167 -2.833 4.055
Tl -0.066 0.017 5.238
Tl -0.940 4.358 4.212
```

Properties
Formation enthalpy at 0 K = -0.228 eV per atom
SG = C2/m

(2)
# Y2CrB10

A relaxed structure of Y2CrB10 (GGA-PBE, the Alexandria database).

extended XYZ file:
```
26
Lattice="-0.535 -2.565 3.220 1.333 -4.414 -3.295 10.895 1.216 2.779" Properties=species:S:1:pos:R:3 pbc="T T T"
Y 9.526 -1.559 3.018
Y 2.167 -4.205 -0.313
Y 7.747 -4.039 0.747
Y 3.945 -1.725 1.958
Cr 6.114 -1.599 -0.258
Cr 0.000 0.000 0.000
B 6.058 0.114 1.098
B 6.170 -3.313 -1.614
B 11.279 -1.585 0.612
B 0.949 -1.614 -1.128
B 7.793 0.219 1.469
B 4.435 -3.417 -1.985
B 1.401 -1.581 0.580
B 10.506 -3.158 0.837
B 4.754 -4.490 0.960
B 6.725 -2.300 3.032
B 10.292 -4.183 2.125
B 1.187 -2.606 1.868
B 6.939 -1.274 1.745
B 4.968 -3.464 -0.328
B 2.130 0.021 0.371
B 10.098 -3.220 -0.886
B 4.110 -2.040 -0.942
B 8.118 -1.159 0.426
B 2.632 -1.337 -0.628
B 9.596 -1.862 0.112
```

Properties
Formation enthalpy at 0 K = -0.405 eV per atom
SG = Pbam

(3)
# Li2Pd3

A relaxed structure of Li2Pd3 (GGA-PBE, the Alexandria database).

extended XYZ file:
```
10
Lattice="-2.943 -2.853 2.279 -1.841 -3.711 -2.198 4.985 -6.953 2.561" Properties=species:S:1:pos:R:3 pbc="T T T"
Li 1.682 -4.561 1.289
Li 1.783 -11.319 2.609
Li -1.481 -8.956 1.353
Li -1.581 -2.197 0.032
Pd -1.173 -5.845 -0.800
Pd -0.937 -4.336 1.425
Pd -2.523 -6.520 1.438
Pd 1.138 -9.180 1.217
Pd 2.724 -6.997 1.204
Pd 1.375 -7.671 3.442
```

Properties
Formation enthalpy at 0 K = -0.252 eV per atom
SG = R-3c

Computed N(E_F) (states/eV per cell) in order:
5.0, 6.8, 7.4
Computed magnetization (μB per atom) in order:
0.000, 0.192, 0.000